# 1
# PBE-GGA KCr2Tc, optimized geometry
data_KCr2Tc
_cell_length_a 3.104
_cell_length_b 5.847
_cell_length_c 9.829
_cell_angle_alpha 90.00
_cell_angle_beta 90.00
_cell_angle_gamma 90.00
_space_group_name_H-M_alt 'I m m m'
_space_group_IT_number 71
_space_group_name_Hall '-I 2 2'
loop_
_atom_site_label
_atom_site_fract_x
_atom_site_fract_y
_atom_site_fract_z
K1 0.000 0.000 0.000
Cr1 0.000 0.500 0.189
Tc1 0.000 0.000 0.500
# Formation energy, kJ/mol of atoms: 125
# Energy above the most stable polymorph in this dataset, meV per atom: 510

=====

# 2
# PBE-GGA TbMg4Sc3, optimized geometry
data_TbMg4Sc3
_cell_length_a 10.322
_cell_length_b 7.293
_cell_length_c 5.162
_cell_angle_alpha 90.00
_cell_angle_beta 90.00
_cell_angle_gamma 90.00
_space_group_name_H-M_alt 'P m m a'
_space_group_IT_number 51
loop_
_space_group_symop_operation_xyz
'x,y,z'
'-x,-y,-z'
'-x+1/2,-y,z'
'x+1/2,y,-z'
'x+1/2,-y,-z'
'-x+1/2,y,z'
'-x,y,-z'
'x,-y,z'
loop_
_atom_site_label
_atom_site_fract_x
_atom_site_fract_y
_atom_site_fract_z
Tb1 0.000 0.000 0.000
Mg1 0.000 0.260 0.500
Mg2 0.250 0.260 0.006
Sc1 0.000 0.500 0.000
Sc2 0.250 0.000 0.505
Sc3 0.250 0.500 0.506
# Formation energy, kJ/mol of atoms: -4

=====

# 3
# PBE-GGA Tb2MnNi4P3, optimized geometry
data_Tb2MnNi4P3
_cell_length_a 3.882
_cell_length_b 3.882
_cell_length_c 9.653
_cell_angle_alpha 90.00
_cell_angle_beta 90.00
_cell_angle_gamma 90.00
_space_group_name_H-M_alt 'P -4 m 2'
_space_group_IT_number 115
loop_
_space_group_symop_operation_xyz
'x,y,z'
'y,-x,-z'
'-x,-y,z'
'-y,x,-z'
'-x,y,z'
'-y,-x,-z'
'x,-y,z'
'y,x,-z'
loop_
_atom_site_label
_atom_site_fract_x
_atom_site_fract_y
_atom_site_fract_z
Tb1 0.000 0.500 0.242
Mn1 0.000 0.000 0.500
Ni1 0.000 0.000 0.000
Ni2 0.000 0.500 0.637
Ni3 0.500 0.500 0.000
P1 0.000 0.500 0.868
P2 0.500 0.500 0.500
# Formation energy, kJ/mol of atoms: -83

=====

# 4
# PBE-GGA Sc2OsPt2, optimized geometry
data_Sc2OsPt2
_cell_length_a 6.988
_cell_length_b 6.988
_cell_length_c 3.671
_cell_angle_alpha 90.00
_cell_angle_beta 90.00
_cell_angle_gamma 90.00
_space_group_name_H-M_alt 'P 4/m b m'
_space_group_IT_number 127
_space_group_name_Hall '-P 4 2ab'
loop_
_atom_site_label
_atom_site_fract_x
_atom_site_fract_y
_atom_site_fract_z
Sc1 0.174 0.326 0.000
Os1 0.000 0.000 0.500
Pt1 0.133 0.633 0.500
# Formation energy, kJ/mol of atoms: -61

=====

| no. | E_tot (eV/atom) | magnetization (μB/f.u.) |
| --- | --- | --- |
| 1 | -6.380 | 5.29 |
| 2 | -3.795 | 0.00 |
| 3 | -6.643 | 3.68 |
| 4 | -7.832 | 0.00 |